1.
This record from Alexandria describes an optimized crystal structure of Li2MoAu. The functional is GGA-PBE. Values from VASP.

energy relative to the elements	0.39	eV per atom
total energy	-4.097	eV/atom
DOS at the Fermi energy	3.4	states/eV/f.u.
crystal system	cubic
space group	No. 225

Quantum ESPRESSO input file:
```
&SYSTEM
  ibrav = 0, nat = 4, ntyp = 3
/
ATOMIC_SPECIES
Mo 95.94 Mo.upf
Au 196.97 Au.upf
Li 6.94 Li.upf
CELL_PARAMETERS angstrom
0.000 3.071 3.071
3.071 0.000 3.071
3.071 3.071 0.000
ATOMIC_POSITIONS angstrom
Mo 0.000 0.000 0.000
Au 3.071 3.071 3.071
Li 1.536 1.536 1.536
Li 4.607 4.607 4.607
```


2.
This record from Alexandria describes an optimized crystal structure of LiMo2Au. The functional is GGA-PBE. Values from VASP.

energy relative to the elements	0.19	eV per atom
total energy	-6.521	eV/atom
DOS at the Fermi energy	2.6	states/eV/f.u.
crystal system	tetragonal
space group	No. 99

Quantum ESPRESSO input file:
```
&SYSTEM
  ibrav = 0, nat = 4, ntyp = 3
/
ATOMIC_SPECIES
Au 196.97 Au.upf
Li 6.94 Li.upf
Mo 95.94 Mo.upf
CELL_PARAMETERS angstrom
2.685 0.000 0.000
0.000 2.685 0.000
0.000 0.000 8.888
ATOMIC_POSITIONS angstrom
Au 0.000 0.000 4.517
Li 1.342 1.342 6.541
Mo 1.342 1.342 2.268
Mo 0.000 0.000 0.007
```


3.
This record from Alexandria describes an optimized crystal structure of LiMoAu3. The functional is GGA-PBE. Values from VASP.

energy relative to the elements	0.74	eV per atom
total energy	-3.774	eV/atom
DOS at the Fermi energy	3.7	states/eV/f.u.
crystal system	cubic
space group	No. 221

Quantum ESPRESSO input file:
```
&SYSTEM
  ibrav = 0, nat = 5, ntyp = 3
/
ATOMIC_SPECIES
Au 196.97 Au.upf
Li 6.94 Li.upf
Mo 95.94 Mo.upf
CELL_PARAMETERS angstrom
-1.187 4.210 -2.596
0.692 -2.502 -4.374
-4.897 -1.374 0.011
ATOMIC_POSITIONS angstrom
Au 0.346 -1.251 -2.187
Au -2.449 -0.687 0.006
Au -0.594 2.105 -1.298
Li -2.696 0.167 -3.479
Mo 0.000 0.000 0.000
```


4.
This record from Alexandria describes an optimized crystal structure of LiMo2Au. The functional is GGA-PBE. Values from VASP.

energy relative to the elements	0.40	eV per atom
total energy	-6.318	eV/atom
DOS at the Fermi energy	2.9	states/eV/f.u.
crystal system	orthorhombic
space group	No. 65

Quantum ESPRESSO input file:
```
&SYSTEM
  ibrav = 0, nat = 4, ntyp = 3
/
ATOMIC_SPECIES
Mo 95.94 Mo.upf
Au 196.97 Au.upf
Li 6.94 Li.upf
CELL_PARAMETERS angstrom
-2.132 0.672 -1.419
-0.190 -2.638 0.126
-5.060 0.743 7.956
ATOMIC_POSITIONS angstrom
Mo -2.538 0.373 3.990
Mo -5.053 0.742 7.944
Au -2.426 -0.797 1.342
Li -4.956 -0.426 5.320
```


5.
This record from Alexandria describes an optimized crystal structure of LiMo2Au. The functional is GGA-PBE. Values from VASP.

energy relative to the elements	0.32	eV per atom
total energy	-6.397	eV/atom
DOS at the Fermi energy	3.4	states/eV/f.u.
crystal system	tetragonal
space group	No. 119

Quantum ESPRESSO input file:
```
&SYSTEM
  ibrav = 0, nat = 4, ntyp = 3
/
ATOMIC_SPECIES
Mo 95.94 Mo.upf
Au 196.97 Au.upf
Li 6.94 Li.upf
CELL_PARAMETERS angstrom
4.721 -0.044 0.000
1.235 4.557 0.000
-2.978 -2.256 2.886
ATOMIC_POSITIONS angstrom
Mo 0.000 0.000 0.000
Mo 0.618 2.278 1.443
Au 2.978 2.256 0.000
Li 2.360 -0.022 1.443
```


6.
This record from Alexandria describes an optimized crystal structure of Li2MoAu. The functional is GGA-PBE. Values from VASP.

energy relative to the elements	0.10	eV per atom
total energy	-4.382	eV/atom
DOS at the Fermi energy	2.9	states/eV/f.u.
crystal system	tetragonal
space group	No. 99

Quantum ESPRESSO input file:
```
&SYSTEM
  ibrav = 0, nat = 4, ntyp = 3
/
ATOMIC_SPECIES
Li 6.94 Li.upf
Au 196.97 Au.upf
Mo 95.94 Mo.upf
CELL_PARAMETERS angstrom
2.747 0.000 0.000
0.000 2.747 0.000
0.000 0.000 8.408
ATOMIC_POSITIONS angstrom
Li 1.373 1.373 2.131
Li 0.000 0.000 8.284
Au 1.373 1.373 6.412
Mo 0.000 0.000 4.193
```


7.
This record from Alexandria describes an optimized crystal structure of LiMo3Au. The functional is GGA-PBE. Values from VASP.

energy relative to the elements	2.21	eV per atom
total energy	-5.328	eV/atom
DOS at the Fermi energy	13.8	states/eV/f.u.
crystal system	cubic
space group	No. 221

Quantum ESPRESSO input file:
```
&SYSTEM
  ibrav = 0, nat = 5, ntyp = 3
/
ATOMIC_SPECIES
Au 196.97 Au.upf
Mo 95.94 Mo.upf
Li 6.94 Li.upf
CELL_PARAMETERS angstrom
4.906 0.000 0.000
0.000 4.906 0.000
0.000 0.000 4.906
ATOMIC_POSITIONS angstrom
Au 0.000 0.000 0.000
Mo 2.453 0.000 0.000
Mo 0.000 0.000 2.453
Mo 0.000 2.453 0.000
Li 2.453 2.453 2.453
```


8.
This record from Alexandria describes an optimized crystal structure of LiMo2Au. The functional is GGA-PBE. Values from VASP.

energy relative to the elements	0.70	eV per atom
total energy	-6.009	eV/atom
DOS at the Fermi energy	5.8	states/eV/f.u.
crystal system	cubic
space group	No. 225

Quantum ESPRESSO input file:
```
&SYSTEM
  ibrav = 0, nat = 4, ntyp = 3
/
ATOMIC_SPECIES
Au 196.97 Au.upf
Li 6.94 Li.upf
Mo 95.94 Mo.upf
CELL_PARAMETERS angstrom
0.000 3.155 3.155
3.155 0.000 3.155
3.155 3.155 0.000
ATOMIC_POSITIONS angstrom
Au 3.155 3.155 3.155
Li 0.000 0.000 0.000
Mo 4.733 4.733 4.733
Mo 1.578 1.578 1.578
```


9.
This record from Alexandria describes an optimized crystal structure of LiMo2Au. The functional is GGA-PBE. Values from VASP.

energy relative to the elements	0.13	eV per atom
total energy	-6.580	eV/atom
DOS at the Fermi energy	2.2	states/eV/f.u.
crystal system	monoclinic
space group	No. 6

Quantum ESPRESSO input file:
```
&SYSTEM
  ibrav = 0, nat = 4, ntyp = 3
/
ATOMIC_SPECIES
Mo 95.94 Mo.upf
Au 196.97 Au.upf
Li 6.94 Li.upf
CELL_PARAMETERS angstrom
4.228 0.000 0.000
0.000 2.670 -0.009
0.000 0.963 5.526
ATOMIC_POSITIONS angstrom
Mo 0.000 3.595 5.509
Mo 2.114 0.749 1.269
Au 0.000 2.031 2.882
Li 2.114 2.708 4.132
```


10.
This record from Alexandria describes an optimized crystal structure of LiMo2Au. The functional is GGA-PBE. Values from VASP.

energy relative to the elements	0.10	eV per atom
total energy	-6.617	eV/atom
DOS at the Fermi energy	2.6	states/eV/f.u.
crystal system	orthorhombic
space group	No. 35

Quantum ESPRESSO input file:
```
&SYSTEM
  ibrav = 0, nat = 4, ntyp = 3
/
ATOMIC_SPECIES
Mo 95.94 Mo.upf
Li 6.94 Li.upf
Au 196.97 Au.upf
CELL_PARAMETERS angstrom
-0.921 -2.195 -1.330
2.614 -0.450 0.635
-2.556 -3.709 7.891
ATOMIC_POSITIONS angstrom
Mo -0.014 -0.020 0.042
Mo 0.228 -2.220 1.560
Li -1.056 -4.083 5.524
Au -1.301 -1.887 4.015
```


11.
This record from Alexandria describes an optimized crystal structure of LiMoAu2. The functional is GGA-PBE. Values from VASP.

energy relative to the elements	0.18	eV per atom
total energy	-4.644	eV/atom
DOS at the Fermi energy	4.7	states/eV/f.u.
crystal system	trigonal
space group	No. 160

Quantum ESPRESSO input file:
```
&SYSTEM
  ibrav = 0, nat = 4, ntyp = 3
/
ATOMIC_SPECIES
Mo 95.94 Mo.upf
Au 196.97 Au.upf
Li 6.94 Li.upf
CELL_PARAMETERS angstrom
9.719 -0.025 -0.015
9.309 2.793 -0.015
9.309 1.354 2.442
ATOMIC_POSITIONS angstrom
Mo 7.086 1.031 0.603
Au 28.278 4.113 2.408
Au 21.377 3.109 1.821
Li 14.101 2.051 1.201
```


12.
This record from Alexandria describes an optimized crystal structure of Li2MoAu. The functional is GGA-PBE. Values from VASP.

energy relative to the elements	0.61	eV per atom
total energy	-3.878	eV/atom
DOS at the Fermi energy	3.6	states/eV/f.u.
crystal system	tetragonal
space group	No. 122

Quantum ESPRESSO input file:
```
&SYSTEM
  ibrav = 0, nat = 8, ntyp = 3
/
ATOMIC_SPECIES
Li 6.94 Li.upf
Mo 95.94 Mo.upf
Au 196.97 Au.upf
CELL_PARAMETERS angstrom
6.953 0.000 0.000
0.000 6.953 0.000
3.476 3.476 2.639
ATOMIC_POSITIONS angstrom
Li 8.691 8.819 1.979
Li 5.214 5.087 1.979
Li 1.610 5.214 0.660
Li 5.342 1.738 0.660
Mo 3.476 6.953 1.320
Mo 3.476 3.476 0.000
Au 0.000 0.000 0.000
Au 6.953 3.476 1.320
```